[1]
A geometry-optimized NdHoPa structure, computed with PBE-GGA.

a = 3.413 Å, b = 3.413 Å, c = 15.467 Å
α = 90.00°, β = 90.00°, γ = 90.00°
Space group I4mm (No. 107)
Asymmetric unit:
Nd (0.000, 0.000, 0.000) x2
Ho (0.000, 0.000, 0.690) x2
Pa (0.000, 0.000, 0.342) x2

Crystal system ... tetragonal

[2]
A geometry-optimized HoMgTe structure, computed with PBE-GGA.

a = 5.1859 Å, b = 5.1859 Å, c = 23.4329 Å
α = 90.00°, β = 90.00°, γ = 120.00°
Space group R-3m (No. 166, hexagonal axes)
Asymmetric unit:
Ho (0.0000, 0.0000, 0.2218) x6
Mg (0.0000, 0.0000, 0.3598) x6
Te (0.0000, 0.0000, 0.0922) x6

Formation energy from raw total energies ... -0.52 eV per atom
Crystal system ... trigonal

| no. | total magnetization (Bohr magnetons per cell) | raw total energy (eV per atom) |
| --- | --- | --- |
| 1 | 0.00 | -6.108 |
| 2 | 0.00 | -3.624 |